# 1
The following is a PBE-GGA calculation of a geometry-optimized Li2Pb structure, from Alexandria.

Structure (CIF):
```
data_Li2Pb
_space_group_name_H-M_alt 'P -3 m 1'
_space_group_IT_number 164
_space_group_name_Hall '-P 3 2"'
_cell_length_a 4.7595
_cell_length_b 4.7595
_cell_length_c 3.1099
_cell_angle_alpha 90.00
_cell_angle_beta 90.00
_cell_angle_gamma 120.00
loop_
_atom_site_label
_atom_site_fract_x
_atom_site_fract_y
_atom_site_fract_z
_atom_site_occupancy
Li1 0.3333 0.6667 0.1048 1
Pb1 0.0000 0.0000 0.5000 1
```

## Properties
- electronic total energy (eV for the cell shown) = -8.45

***

# 2
The following is a PBE-GGA calculation of a geometry-optimized Dy8PtSe4S3 structure, from Alexandria.

Structure (CIF):
```
data_Dy8PtSe4S3
_space_group_name_H-M_alt 'R -3 m'
_space_group_IT_number 166
_space_group_name_Hall '-R 3 2"'
_cell_length_a 8.0301
_cell_length_b 8.0301
_cell_length_c 19.9233
_cell_angle_alpha 90.00
_cell_angle_beta 90.00
_cell_angle_gamma 120.00
loop_
_atom_site_label
_atom_site_fract_x
_atom_site_fract_y
_atom_site_fract_z
_atom_site_occupancy
Dy1 0.0000 0.0000 0.2429 1
Dy2 0.0024 0.5012 0.2439 1
Pt1 0.0000 0.0000 0.5000 1
Se1 0.0000 0.0000 0.0000 1
Se2 0.0000 0.5000 0.0000 1
S1 0.0000 0.5000 0.5000 1
```

## Properties
- formation energy (no corrections) (meV per atom) = -1793

***

# 3
The following is a PBE-GGA calculation of a geometry-optimized OsS2I structure, from Alexandria.

Structure (CIF):
```
data_OsS2I
_space_group_name_H-M_alt 'F m -3 m'
_space_group_IT_number 225
_space_group_name_Hall '-F 4 2 3'
_cell_length_a 6.540
_cell_length_b 6.540
_cell_length_c 6.540
_cell_angle_alpha 90.00
_cell_angle_beta 90.00
_cell_angle_gamma 90.00
loop_
_atom_site_label
_atom_site_fract_x
_atom_site_fract_y
_atom_site_fract_z
_atom_site_occupancy
Os1 0.000 0.000 0.000 1
S1 0.250 0.250 0.250 1
I1 0.000 0.000 0.500 1
```

## Properties
- relative energy among the computed polymorphs (meV/atom) = 1369
- formation energy (no corrections) (meV per atom) = 1379

***

# 4
The following is a PBE-GGA calculation of a geometry-optimized Be2AlP structure, from Alexandria.

Structure (CIF):
```
data_Be2AlP
_space_group_name_H-M_alt 'C 1 m 1'
_space_group_IT_number 8
_space_group_name_Hall 'C -2y'
_cell_length_a 6.892
_cell_length_b 3.254
_cell_length_c 4.648
_cell_angle_alpha 90.00
_cell_angle_beta 102.34
_cell_angle_gamma 90.00
loop_
_atom_site_label
_atom_site_fract_x
_atom_site_fract_y
_atom_site_fract_z
_atom_site_occupancy
Be1 0.000 0.000 0.000 1
Be2 0.224 0.500 0.090 1
Al1 0.480 0.000 0.407 1
P1 0.241 0.000 0.781 1
```

## Properties
- relative energy among the computed polymorphs (meV/atom) = 0

***

# 5
The following is a PBE-GGA calculation of a geometry-optimized Tb3Ho4Se8 structure, from Alexandria.

Structure (CIF):
```
data_Tb3Ho4Se8
_space_group_name_H-M_alt 'C 1 2/m 1'
_space_group_IT_number 12
_space_group_name_Hall '-C 2y'
_cell_length_a 11.483
_cell_length_b 11.486
_cell_length_c 8.118
_cell_angle_alpha 90.00
_cell_angle_beta 134.96
_cell_angle_gamma 90.00
loop_
_atom_site_label
_atom_site_fract_x
_atom_site_fract_y
_atom_site_fract_z
_atom_site_occupancy
Tb1 0.000 0.000 0.000 1
Tb2 0.250 0.250 0.000 1
Ho1 0.000 0.500 0.000 1
Ho2 0.000 0.500 0.500 1
Ho3 0.250 0.250 0.500 1
Se1 0.000 0.247 0.500 1
Se2 0.000 0.251 0.000 1
Se3 0.248 0.000 0.502 1
Se4 0.249 0.000 0.995 1
```

## Properties
- formation energy (no corrections) (meV per atom) = -1829

***

# 6
The following is a PBE-GGA calculation of a geometry-optimized RbMo2As structure, from Alexandria.

Structure (CIF):
```
data_RbMo2As
_space_group_name_H-M_alt 'I -4 2 d'
_space_group_IT_number 122
_space_group_name_Hall 'I -4 2bw'
_cell_length_a 4.785
_cell_length_b 4.785
_cell_length_c 18.458
_cell_angle_alpha 90.00
_cell_angle_beta 90.00
_cell_angle_gamma 90.00
loop_
_atom_site_label
_atom_site_fract_x
_atom_site_fract_y
_atom_site_fract_z
_atom_site_occupancy
Rb1 0.000 0.000 0.000 1
Mo1 0.053 0.250 0.625 1
As1 0.000 0.000 0.500 1
```

## Properties
- electronic total energy (eV for the cell shown) = -92.51

***

# 7
The following is a PBE-GGA calculation of a geometry-optimized YHo5Pt4 structure, from Alexandria.

Structure (CIF):
```
data_YHo5Pt4
_space_group_name_H-M_alt 'C 1 2/m 1'
_space_group_IT_number 12
_space_group_name_Hall '-C 2y'
_cell_length_a 18.567
_cell_length_b 4.149
_cell_length_c 7.641
_cell_angle_alpha 90.00
_cell_angle_beta 114.21
_cell_angle_gamma 90.00
loop_
_atom_site_label
_atom_site_fract_x
_atom_site_fract_y
_atom_site_fract_z
_atom_site_occupancy
Y1 0.000 0.000 0.000 1
Ho1 0.000 0.000 0.500 1
Ho2 0.164 0.500 0.406 1
Ho3 0.164 0.500 0.923 1
Pt1 0.000 0.500 0.257 1
Pt2 0.207 0.000 0.208 1
```

## Properties
- electronic total energy (eV for the cell shown) = -127.14

***

# 8
The following is a PBE-GGA calculation of a geometry-optimized HfMgIrO6 structure, from Alexandria.

Structure (CIF):
```
data_HfMgIrO6
_space_group_name_H-M_alt 'P -3 1 c'
_space_group_IT_number 163
_space_group_name_Hall '-P 3 2c'
_cell_length_a 5.2235
_cell_length_b 5.2235
_cell_length_c 9.0648
_cell_angle_alpha 90.00
_cell_angle_beta 90.00
_cell_angle_gamma 120.00
loop_
_atom_site_label
_atom_site_fract_x
_atom_site_fract_y
_atom_site_fract_z
_atom_site_occupancy
Hf1 0.3333 0.6667 0.2500 1
Mg1 0.0000 0.0000 0.0000 1
Ir1 0.3333 0.6667 0.7500 1
O1 0.0176 0.3543 0.6308 1
```

## Properties
- formation energy (no corrections) (meV per atom) = -1939

***

# 9
The following is a PBE-GGA calculation of a geometry-optimized SmErNp structure, from Alexandria.

Structure (CIF):
```
data_SmErNp
_space_group_name_H-M_alt 'C 1 2/m 1'
_space_group_IT_number 12
_space_group_name_Hall '-C 2y'
_cell_length_a 16.805
_cell_length_b 3.539
_cell_length_c 5.929
_cell_angle_alpha 90.00
_cell_angle_beta 102.02
_cell_angle_gamma 90.00
loop_
_atom_site_label
_atom_site_fract_x
_atom_site_fract_y
_atom_site_fract_z
_atom_site_occupancy
Sm1 0.124 0.000 0.324 1
Er1 0.067 0.500 0.794 1
Np1 0.238 0.000 0.862 1
```

## Properties
- electronic total energy (eV for the cell shown) = -86.01

***

# 10
The following is a PBE-GGA calculation of a geometry-optimized Sm2Si3Ni12Au structure, from Alexandria.

Structure (CIF):
```
data_Sm2Si3Ni12Au
_space_group_name_H-M_alt 'R -3 m'
_space_group_IT_number 166
_space_group_name_Hall '-R 3 2"'
_cell_length_a 8.6166
_cell_length_b 8.6166
_cell_length_c 11.8048
_cell_angle_alpha 90.00
_cell_angle_beta 90.00
_cell_angle_gamma 120.00
loop_
_atom_site_label
_atom_site_fract_x
_atom_site_fract_y
_atom_site_fract_z
_atom_site_occupancy
Sm1 0.0000 0.0000 0.1579 1
Si1 0.0000 0.5000 0.0000 1
Ni1 0.0018 0.5009 0.1902 1
Ni2 0.0089 0.5044 0.3898 1
Au1 0.0000 0.0000 0.5000 1
```

## Properties
- formation energy (no corrections) (meV per atom) = -54

***

# 11
The following is a PBE-GGA calculation of a geometry-optimized AgC5 structure, from Alexandria.

Structure (CIF):
```
data_AgC5
_space_group_name_H-M_alt 'F -4 3 m'
_space_group_IT_number 216
_space_group_name_Hall 'F -4 2 3'
_cell_length_a 6.261
_cell_length_b 6.261
_cell_length_c 6.261
_cell_angle_alpha 90.00
_cell_angle_beta 90.00
_cell_angle_gamma 90.00
loop_
_atom_site_label
_atom_site_fract_x
_atom_site_fract_y
_atom_site_fract_z
_atom_site_occupancy
Ag1 0.000 0.000 0.000 1
C1 0.089 0.089 0.411 1
C2 0.250 0.250 0.750 1
```

## Properties
- relative energy among the computed polymorphs (meV/atom) = 2432

***

# 12
The following is a PBE-GGA calculation of a geometry-optimized Zr2InRu structure, from Alexandria.

Structure (CIF):
```
data_Zr2InRu
_space_group_name_H-M_alt 'I -4 m 2'
_space_group_IT_number 119
_space_group_name_Hall 'I -4 -2'
_cell_length_a 4.106
_cell_length_b 4.106
_cell_length_c 9.394
_cell_angle_alpha 90.00
_cell_angle_beta 90.00
_cell_angle_gamma 90.00
loop_
_atom_site_label
_atom_site_fract_x
_atom_site_fract_y
_atom_site_fract_z
_atom_site_occupancy
Zr1 0.000 0.000 0.000 1
Zr2 0.000 0.500 0.250 1
In1 0.000 0.500 0.750 1
Ru1 0.000 0.000 0.500 1
```

## Properties
- electronic total energy (eV for the cell shown) = -59.97